Record 1
Entry from Alexandria via LeMat-Bulk: a geometry-optimized Na2SnTe5 structure (GGA-PBE).

The structure in POSCAR format:
```
Na2SnTe5
1.0
5.368 -4.347 0.000
5.368 4.347 0.000
-3.862 0.000 5.325
Na Sn Te
2 1 5
Direct
0.000 0.000 0.000
0.001 0.001 0.500
0.501 0.501 0.752
0.004 0.500 0.502
0.500 0.004 0.502
0.500 0.997 0.999
0.501 0.501 0.252
0.997 0.500 0.999
```

Properties
symmetry = Cm, No. 8
total moment = 0.00 μB per formula unit
E_form (uncorrected) = -0.37 eV per atom

=====

Record 2
Entry from Alexandria via LeMat-Bulk: a geometry-optimized NaSn2Te2 structure (GGA-PBE).

The structure in POSCAR format:
```
NaSn2Te2
1.0
-2.209 2.209 8.196
2.209 -2.209 8.196
2.209 2.209 -8.196
Na Sn Te
1 2 2
Direct
0.000 0.000 0.000
0.250 0.750 0.500
0.750 0.250 0.500
0.407 0.407 0.000
0.593 0.593 0.000
```

Properties
symmetry = I4/mmm, No. 139
total moment = 0.00 μB per formula unit
E_form (uncorrected) = -0.23 eV per atom
ΔE to the lowest computed polymorph = 0.058 eV per atom

=====

Record 3
Entry from Alexandria via LeMat-Bulk: a geometry-optimized NaSn3Te4 structure (GGA-PBE).

The structure in POSCAR format:
```
NaSn3Te4
1.0
4.562 -6.350 0.000
4.562 6.350 0.000
0.000 0.000 4.401
Na Sn Te
1 3 4
Direct
0.000 0.000 0.000
0.000 0.500 0.500
0.500 0.000 0.500
0.500 0.500 0.000
0.251 0.749 0.000
0.256 0.256 0.500
0.744 0.744 0.500
0.749 0.251 0.000
```

Properties
symmetry = Cmmm, No. 65
total moment = 0.00 μB per formula unit
E_form (uncorrected) = -0.39 eV per atom
ΔE to the lowest computed polymorph = 0.000 eV per atom

=====

Record 4
Entry from Alexandria via LeMat-Bulk: a geometry-optimized NaSn5Te4 structure (GGA-PBE).

The structure in POSCAR format:
```
NaSn5Te4
1.0
10.733 0.000 0.000
0.000 11.836 0.000
0.000 0.000 5.899
Na Sn Te
2 10 8
Direct
0.250 0.250 0.070
0.750 0.750 0.930
0.037 0.505 0.750
0.037 0.995 0.750
0.250 0.750 0.250
0.463 0.505 0.750
0.463 0.995 0.750
0.537 0.005 0.250
0.537 0.495 0.250
0.750 0.250 0.750
0.963 0.005 0.250
0.963 0.495 0.250
0.049 0.750 0.886
0.250 0.017 0.341
0.250 0.483 0.341
0.451 0.750 0.886
0.549 0.250 0.114
0.750 0.517 0.659
0.750 0.983 0.659
0.951 0.250 0.114
```

Properties
symmetry = Pmmn, No. 59
total moment = 0.00 μB per formula unit
E_form (uncorrected) = -0.13 eV per atom